Computed, not measured: an optimized crystal structure of TiW3 at the PBE-GGA level of DFT.

Cell lengths 4.499, 4.499, 3.162 Å; angles 90.00, 90.00, 90.00 degrees
Atoms (fractional coordinates):
Ti1 0.000 0.000 0.000
W1 0.000 0.500 0.500
W2 0.500 0.000 0.500
W3 0.500 0.500 0.000

Properties
Magnetization: 0.00 μB/cell
Calculated formation energy: -19.9 kJ/mol of formula units
Calculated volume: 15.997 Å³ per atom
E: -47.0 eV for the cell shown